# 1
This record from Alexandria describes an optimized crystal structure of NaMg2BiH. The functional is PBE-GGA.

Calculated values
The final energy comes out at -12.4 eV for the cell shown. The calculation puts the spin magnetization at 0.00 μB/f.u.

Cell lengths 4.650, 4.650, 4.679 Å; angles 90.00, 90.00, 90.00 degrees
Fractional coordinates of all 5 atoms:
Na  0.000  0.000  0.500
Mg  0.500  0.000  0.000
Mg  0.000  0.500  0.000
H  0.000  0.000  0.000
Bi  0.500  0.500  0.500



# 2
This record from Alexandria describes an optimized crystal structure of Na2MgBiH. The functional is PBE-GGA.

Calculated values
The final energy comes out at -12.6 eV for the cell shown. The calculation puts the spin magnetization at 0.00 μB/f.u.

Cell lengths 4.581, 4.581, 4.957 Å; angles 90.00, 90.00, 90.00 degrees
Fractional coordinates of all 5 atoms:
Na  0.500  0.000  0.000
Na  0.000  0.500  0.000
H  0.000  0.000  0.000
Bi  0.500  0.500  0.500
Mg  0.000  0.000  0.500



# 3
This record from Alexandria describes an optimized crystal structure of Na2MgBiH. The functional is PBE-GGA.

Calculated values
The final energy comes out at -11.5 eV for the cell shown. The calculation puts the spin magnetization at 0.00 μB/f.u.

Cell lengths 4.921, 4.650, 4.921 Å; angles 90.00, 90.00, 90.00 degrees
Fractional coordinates of all 5 atoms:
Mg  0.500  0.500  0.500
H  0.000  0.000  0.000
Na  0.000  0.000  0.500
Na  0.500  0.000  0.000
Bi  0.000  0.500  0.000



# 4
This record from Alexandria describes an optimized crystal structure of Mg2BiHPb. The functional is PBE-GGA.

Calculated values
The final energy comes out at -12.7 eV for the cell shown. The calculation puts the spin magnetization at 0.00 μB/f.u.

Cell lengths 5.764, 3.924, 5.764 Å; angles 90.00, 90.00, 90.00 degrees
Fractional coordinates of all 5 atoms:
Bi  0.000  0.000  0.000
H  0.000  0.500  0.000
Mg  0.000  0.000  0.500
Mg  0.500  0.000  0.000
Pb  0.500  0.500  0.500



Please write out number 3 again, unchanged.
This record from Alexandria describes an optimized crystal structure of Na2MgBiH. The functional is PBE-GGA.

Calculated values
The final energy comes out at -11.5 eV for the cell shown. The calculation puts the spin magnetization at 0.00 μB/f.u.

Cell lengths 4.921, 4.650, 4.921 Å; angles 90.00, 90.00, 90.00 degrees
Fractional coordinates of all 5 atoms:
Mg  0.500  0.500  0.500
H  0.000  0.000  0.000
Na  0.000  0.000  0.500
Na  0.500  0.000  0.000
Bi  0.000  0.500  0.000



Please write out number 3 again, unchanged.
This record from Alexandria describes an optimized crystal structure of Na2MgBiH. The functional is PBE-GGA.

Calculated values
The final energy comes out at -11.5 eV for the cell shown. The calculation puts the spin magnetization at 0.00 μB/f.u.

Cell lengths 4.921, 4.650, 4.921 Å; angles 90.00, 90.00, 90.00 degrees
Fractional coordinates of all 5 atoms:
Mg  0.500  0.500  0.500
H  0.000  0.000  0.000
Na  0.000  0.000  0.500
Na  0.500  0.000  0.000
Bi  0.000  0.500  0.000



What is the formula in the third record?
Na2MgBiH